Entry from Alexandria via LeMat-Bulk: an optimized crystal structure of Nb2PdN (PBE-GGA).

* DFT total energy: -7.972 eV per atom

Cell lengths 4.3342, 4.3342, 4.3342 Å; angles 60.00, 60.00, 60.00 degrees
With the nearest neighbours (Å) after each atom.
Fractional positions:
Nb 0.2500 0.2500 0.2500  4 Pd 2.65, 4 N 2.65
Nb 0.7500 0.7500 0.7500  4 N 2.65, 4 Pd 2.65
Pd 0.5000 0.5000 0.5000  8 Nb 2.65
N 0.0000 0.0000 0.0000  8 Nb 2.65



Entry from Alexandria via LeMat-Bulk: an optimized crystal structure of NbPdN (PBE-GGA).

* energy above the most stable polymorph in this dataset: 64 meV per atom

Cell lengths 5.3200, 3.0805, 11.0349 Å; angles 90.00, 111.73, 90.00 degrees
With the nearest neighbours (Å) after each atom.
Fractional positions:
Pd 0.7696 0.5000 0.6887  1 N 2.52, 2 Nb 2.71
Pd 0.7696 0.0000 0.1887  1 N 2.52, 2 Nb 2.71
Pd 0.6860 0.5000 0.9527  2 N 2.05-2.15
Pd 0.6860 0.0000 0.4527  2 N 2.05-2.15
N 0.2722 0.0000 0.3173  4 Nb 2.11-2.15, 1 Pd 2.15
N 0.1001 0.0000 0.5365  3 Nb 1.94-2.12, 1 Pd 2.05
N 0.1001 0.5000 0.0365  3 Nb 1.94-2.12, 1 Pd 2.05
N 0.2722 0.5000 0.8173  4 Nb 2.11-2.15, 1 Pd 2.15
Nb 0.1210 0.5000 0.4084  4 N 2.12-2.15
Nb 0.3713 0.0000 0.7126  3 N 1.94-2.11
Nb 0.1210 0.0000 0.9084  4 N 2.12-2.15
Nb 0.3713 0.5000 0.2126  3 N 1.94-2.11